A geometry-optimized Zr2TiTe2 structure, computed with PBE-GGA.

The magnetization comes out at 0.00 Bohr magnetons per cell. The total energy is -137.051 eV for the cell shown. For the uncorrected formation energy, the calculation gives -0.60 eV/atom.

The structure belongs to space group Cmc2_1 (No. 36); the cell edges are 3.844, 17.344 and 6.932 Å and the angles 90.00°, 90.00° and 90.00°. Symmetry generates all atoms from Zr at (0.000, 0.023, 0.000), Zr at (0.000, 0.183, 0.434), Ti at (0.000, 0.406, 0.197), Te at (0.000, 0.187, 0.875) and Te at (0.000, 0.428, 0.791).